Entry 1:
Here is crystalline BaH2Br2 at its relaxed geometry from Alexandria via LeMat-Bulk. Energies are from PBE-GGA.

Calculated values
- Density of states at the Fermi level: 0.00 states/eV/f.u.
- E: -3.69 eV/atom
- ρ: 3.2 g/cm3

a = 4.9947 Å, b = 5.0091 Å, c = 7.8625 Å
α = 68.91°, β = 71.48°, γ = 60.10°
Last column: nearest neighbours and their distance in Å.
Sites, in units of the cell vectors:
Ba1 0.0000 0.0000 0.0000  6 Br 3.26
H1 0.5387 0.4107 0.5119  1 H 0.75
H2 0.4613 0.5893 0.4881  1 H 0.75
Br1 0.2718 0.2465 0.2098  1 H 3.09, 3 Ba 3.26
Br2 0.7282 0.7535 0.7902  1 H 3.09, 3 Ba 3.26

Entry 2:
Here is crystalline Ba7H12Br2 at its relaxed geometry from Alexandria via LeMat-Bulk. Energies are from PBE-GGA.

Calculated values
- Density of states at the Fermi level: 0.00 states/eV/f.u.
- E: -3.50 eV/atom
- ρ: 4.4 g/cm3

a = 4.3040 Å, b = 10.7273 Å, c = 10.7273 Å
α = 120.00°, β = 90.00°, γ = 90.00°
Last column: nearest neighbours and their distance in Å.
Sites, in units of the cell vectors:
Ba1 0.0000 0.3333 0.6667  3 H 2.56
Ba2 0.0000 0.0272 0.7686  5 H 2.60-2.71
Ba3 0.0000 0.7414 0.9728  5 H 2.60-2.71
Ba4 0.0000 0.2314 0.2586  5 H 2.60-2.71
Ba5 0.5000 0.6176 0.5557  7 H 2.65-2.82
Ba6 0.5000 0.9381 0.3824  7 H 2.65-2.82
Ba7 0.5000 0.4443 0.0619  7 H 2.65-2.82
H1 0.5000 0.8937 0.6146  4 Ba 2.65-2.76
H2 0.5000 0.7209 0.1063  4 Ba 2.65-2.76
H3 0.5000 0.3854 0.2791  4 Ba 2.65-2.76
H4 0.5000 0.2239 0.7709  5 Ba 2.82-3.01, 3 H 3.07
H5 0.5000 0.5470 0.7761  5 Ba 2.82-3.01, 3 H 3.07
H6 0.5000 0.2291 0.4530  5 Ba 2.82-3.01, 3 H 3.07
H7 0.0000 0.0578 0.5429  4 Ba 2.56-2.65
H8 0.0000 0.4851 0.9422  4 Ba 2.56-2.65
H9 0.0000 0.4571 0.5149  4 Ba 2.56-2.65
H10 0.0000 0.7586 0.7293  4 Ba 2.70-2.75, 1 H 2.88
H11 0.0000 0.9707 0.2414  4 Ba 2.70-2.75, 1 H 2.88
H12 0.0000 0.2707 0.0293  4 Ba 2.70-2.75, 1 H 2.88
Br1 0.5000 0.0000 0.0000  6 Ba 3.41, 9 H 3.50-3.70
Br2 0.0000 0.6667 0.3333  6 Ba 3.44, 12 H 3.51-3.85

Entry 3:
Here is crystalline Ba2HBr at its relaxed geometry from Alexandria via LeMat-Bulk. Energies are from PBE-GGA.

Calculated values
- Density of states at the Fermi level: 1.16 states/eV/f.u.
- Excess energy over the best structure of this formula in the dataset: 72.8 meV/atom
- ρ: 4.3 g/cm3

a = 7.9076 Å, b = 7.9076 Å, c = 7.1226 Å
α = 56.28°, β = 56.28°, γ = 90.00°
Last column: nearest neighbours and their distance in Å.
Sites, in units of the cell vectors:
H1 0.5000 0.5000 0.0000  4 Ba 2.68
H2 0.2500 0.7500 0.5000  4 Ba 2.68
Ba1 0.5553 0.1250 0.2500  2 H 2.68
Ba2 0.1947 0.6250 0.2500  2 H 2.68
Ba3 0.3750 0.4447 0.7500  2 H 2.68
Ba4 0.8750 0.8053 0.7500  2 H 2.68
Br1 0.0000 0.0000 0.0000  4 Ba 3.39
Br2 0.7500 0.2500 0.5000  4 Ba 3.39